Record 1
The following is a DFT calculation (PBE) of KBaMg2 after structural relaxation.

```
data_KBaMg2
_cell_length_a 4.837
_cell_length_b 5.378
_cell_length_c 7.340
_cell_angle_alpha 90.00
_cell_angle_beta 109.09
_cell_angle_gamma 90.00
_space_group_name_H-M_alt 'P 1'
_space_group_IT_number 1
_space_group_name_Hall 'P 1'
loop_
_atom_site_label
_atom_site_type_symbol
_atom_site_fract_x
_atom_site_fract_y
_atom_site_fract_z
K1 K 0.000 0.000 0.000
Ba1 Ba 0.298 0.500 0.600
Mg1 Mg 0.597 0.500 0.191
Mg2 Mg 0.707 0.000 0.422
```

Computed properties:
M_tot   0.00 μB/f.u.
E   -5.8 eV/cell
Distance to the lowest polymorph of the same formula   12 meV/atom
DFT formation energy   0.45 eV per formula unit
Space-group type   Pm

Record 2
The following is a DFT calculation (PBE) of FeRu3I after structural relaxation.

```
data_FeRu3I
_cell_length_a 4.493
_cell_length_b 4.493
_cell_length_c 4.493
_cell_angle_alpha 90.00
_cell_angle_beta 90.00
_cell_angle_gamma 90.00
_space_group_name_H-M_alt 'P 1'
_space_group_IT_number 1
_space_group_name_Hall 'P 1'
loop_
_atom_site_label
_atom_site_type_symbol
_atom_site_fract_x
_atom_site_fract_y
_atom_site_fract_z
Fe1 Fe 0.000 0.000 0.000
Ru1 Ru 0.000 0.000 0.500
Ru2 Ru 0.000 0.500 0.000
Ru3 Ru 0.500 0.000 0.000
I1 I 0.500 0.500 0.500
```

Computed properties:
Uncorrected formation energy   1.494 eV per atom
M_tot   0.00 μB/f.u.
E   -30.4 eV/cell
Distance to the lowest polymorph of the same formula   0 meV/atom
Space-group type   Pm-3m

Record 3
The following is a DFT calculation (PBE) of InGe2F4 after structural relaxation.

```
data_InGe2F4
_cell_length_a 4.130
_cell_length_b 4.130
_cell_length_c 16.818
_cell_angle_alpha 90.00
_cell_angle_beta 90.00
_cell_angle_gamma 90.00
_space_group_name_H-M_alt 'P 1'
_space_group_IT_number 1
_space_group_name_Hall 'P 1'
loop_
_atom_site_label
_atom_site_type_symbol
_atom_site_fract_x
_atom_site_fract_y
_atom_site_fract_z
In1 In 0.000 0.000 0.000
In2 In 0.500 0.500 0.500
Ge1 Ge 0.000 0.000 0.246
Ge2 Ge 0.000 0.000 0.754
Ge3 Ge 0.500 0.500 0.254
Ge4 Ge 0.500 0.500 0.746
F1 F 0.000 0.000 0.129
F2 F 0.000 0.000 0.871
F3 F 0.000 0.500 0.000
F4 F 0.000 0.500 0.500
F5 F 0.500 0.000 0.000
F6 F 0.500 0.000 0.500
F7 F 0.500 0.500 0.371
F8 F 0.500 0.500 0.629
```

Computed properties:
Uncorrected formation energy   -1.696 eV per atom
M_tot   0.00 μB/f.u.
E   -62.7 eV/cell
Space-group type   I4/mmm

Record 4
The following is a DFT calculation (PBE) of TaPS2 after structural relaxation.

```
data_TaPS2
_cell_length_a 3.244
_cell_length_b 3.244
_cell_length_c 24.372
_cell_angle_alpha 90.00
_cell_angle_beta 90.00
_cell_angle_gamma 120.00
_space_group_name_H-M_alt 'P 1'
_space_group_IT_number 1
_space_group_name_Hall 'P 1'
loop_
_atom_site_label
_atom_site_type_symbol
_atom_site_fract_x
_atom_site_fract_y
_atom_site_fract_z
Ta1 Ta 0.000 0.000 0.000
Ta2 Ta 0.333 0.667 0.667
Ta3 Ta 0.667 0.333 0.333
P1 P 0.000 0.000 0.500
P2 P 0.333 0.667 0.167
P3 P 0.667 0.333 0.833
S1 S 0.000 0.000 0.400
S2 S 0.000 0.000 0.600
S3 S 0.333 0.667 0.067
S4 S 0.333 0.667 0.267
S5 S 0.667 0.333 0.733
S6 S 0.667 0.333 0.933
```

Computed properties:
Uncorrected formation energy   -0.348 eV per atom
M_tot   0.00 μB/f.u.
E   -80.7 eV/cell
Space-group type   R-3m

Record 5
The following is a DFT calculation (PBE) of As2HRuBr after structural relaxation.

```
data_As2HRuBr
_cell_length_a 3.956
_cell_length_b 3.956
_cell_length_c 4.940
_cell_angle_alpha 90.00
_cell_angle_beta 90.00
_cell_angle_gamma 90.00
_space_group_name_H-M_alt 'P 1'
_space_group_IT_number 1
_space_group_name_Hall 'P 1'
loop_
_atom_site_label
_atom_site_type_symbol
_atom_site_fract_x
_atom_site_fract_y
_atom_site_fract_z
As1 As 0.000 0.500 0.000
As2 As 0.500 0.000 0.000
H1 H 0.000 0.000 0.000
Ru1 Ru 0.500 0.500 0.500
Br1 Br 0.000 0.000 0.500
```

Computed properties:
M_tot   0.00 μB/f.u.
E   -19.4 eV/cell
Distance to the lowest polymorph of the same formula   98 meV/atom
Space-group type   P4/mmm

Record 6
The following is a DFT calculation (PBE) of La2AlW after structural relaxation.

```
data_La2AlW
_cell_length_a 6.734
_cell_length_b 9.303
_cell_length_c 3.113
_cell_angle_alpha 90.00
_cell_angle_beta 90.00
_cell_angle_gamma 90.00
_space_group_name_H-M_alt 'P 1'
_space_group_IT_number 1
_space_group_name_Hall 'P 1'
loop_
_atom_site_label
_atom_site_type_symbol
_atom_site_fract_x
_atom_site_fract_y
_atom_site_fract_z
La1 La 0.250 0.250 0.000
La2 La 0.250 0.750 0.000
La3 La 0.750 0.250 0.000
La4 La 0.750 0.750 0.000
Al1 Al 0.000 0.000 0.500
Al2 Al 0.500 0.500 0.500
W1 W 0.000 0.500 0.500
W2 W 0.500 0.000 0.500
```

Computed properties:
M_tot   0.00 μB/f.u.
E   -49.9 eV/cell
DFT formation energy   1.58 eV per formula unit
Space-group type   Cmmm

Record 7
The following is a DFT calculation (PBE) of TiTeI2N after structural relaxation.

```
data_TiTeI2N
_cell_length_a 5.830
_cell_length_b 5.830
_cell_length_c 3.772
_cell_angle_alpha 90.00
_cell_angle_beta 90.00
_cell_angle_gamma 90.00
_space_group_name_H-M_alt 'P 1'
_space_group_IT_number 1
_space_group_name_Hall 'P 1'
loop_
_atom_site_label
_atom_site_type_symbol
_atom_site_fract_x
_atom_site_fract_y
_atom_site_fract_z
Ti1 Ti 0.000 0.000 0.000
Te1 Te 0.500 0.500 0.500
I1 I 0.000 0.500 0.000
I2 I 0.500 0.000 0.000
N1 N 0.000 0.000 0.500
```

Computed properties:
Uncorrected formation energy   0.071 eV per atom
M_tot   0.00 μB/f.u.
E   -22.1 eV/cell
Distance to the lowest polymorph of the same formula   0 meV/atom
Space-group type   P4/mmm

Record 8
The following is a DFT calculation (PBE) of Rb12Ge3H5 after structural relaxation.

```
data_Rb12Ge3H5
_cell_length_a 16.443
_cell_length_b 16.443
_cell_length_c 16.443
_cell_angle_alpha 109.47
_cell_angle_beta 109.47
_cell_angle_gamma 109.47
_space_group_name_H-M_alt 'P 1'
_space_group_IT_number 1
_space_group_name_Hall 'P 1'
loop_
_atom_site_label
_atom_site_type_symbol
_atom_site_fract_x
_atom_site_fract_y
_atom_site_fract_z
Rb1 Rb 0.028 0.207 0.124
Rb2 Rb 0.028 0.321 0.904
Rb3 Rb 0.082 0.707 0.679
Rb4 Rb 0.082 0.876 0.404
Rb5 Rb 0.096 0.624 0.418
Rb6 Rb 0.096 0.972 0.679
Rb7 Rb 0.124 0.028 0.207
Rb8 Rb 0.124 0.596 0.918
Rb9 Rb 0.179 0.207 0.582
Rb10 Rb 0.179 0.472 0.596
Rb11 Rb 0.207 0.124 0.028
Rb12 Rb 0.207 0.582 0.179
Rb13 Rb 0.293 0.321 0.918
Rb14 Rb 0.293 0.472 0.376
Rb15 Rb 0.321 0.904 0.028
Rb16 Rb 0.321 0.918 0.293
Rb17 Rb 0.376 0.293 0.472
Rb18 Rb 0.376 0.582 0.904
Rb19 Rb 0.404 0.082 0.876
Rb20 Rb 0.404 0.821 0.528
Rb21 Rb 0.418 0.096 0.624
Rb22 Rb 0.418 0.821 0.793
Rb23 Rb 0.472 0.376 0.293
Rb24 Rb 0.472 0.596 0.179
Rb25 Rb 0.528 0.404 0.821
Rb26 Rb 0.528 0.624 0.707
Rb27 Rb 0.582 0.179 0.207
Rb28 Rb 0.582 0.904 0.376
Rb29 Rb 0.596 0.179 0.472
Rb30 Rb 0.596 0.918 0.124
Rb31 Rb 0.624 0.418 0.096
Rb32 Rb 0.624 0.707 0.528
Rb33 Rb 0.679 0.082 0.707
Rb34 Rb 0.679 0.096 0.972
Rb35 Rb 0.707 0.528 0.624
Rb36 Rb 0.707 0.679 0.082
Rb37 Rb 0.793 0.418 0.821
Rb38 Rb 0.793 0.876 0.972
Rb39 Rb 0.821 0.528 0.404
Rb40 Rb 0.821 0.793 0.418
Rb41 Rb 0.876 0.404 0.082
Rb42 Rb 0.876 0.972 0.793
Rb43 Rb 0.904 0.028 0.321
Rb44 Rb 0.904 0.376 0.582
Rb45 Rb 0.918 0.124 0.596
Rb46 Rb 0.918 0.293 0.321
Rb47 Rb 0.972 0.679 0.096
Rb48 Rb 0.972 0.793 0.876
Ge1 Ge 0.125 0.250 0.375
Ge2 Ge 0.125 0.375 0.750
Ge3 Ge 0.250 0.375 0.125
Ge4 Ge 0.250 0.875 0.625
Ge5 Ge 0.375 0.125 0.250
Ge6 Ge 0.375 0.750 0.125
Ge7 Ge 0.625 0.250 0.875
Ge8 Ge 0.625 0.875 0.750
Ge9 Ge 0.750 0.125 0.375
Ge10 Ge 0.750 0.625 0.875
Ge11 Ge 0.875 0.625 0.250
Ge12 Ge 0.875 0.750 0.625
H1 H 0.000 0.000 0.000
H2 H 0.000 0.000 0.500
H3 H 0.000 0.500 0.000
H4 H 0.000 0.500 0.500
H5 H 0.125 0.750 0.875
H6 H 0.125 0.875 0.250
H7 H 0.250 0.125 0.875
H8 H 0.250 0.625 0.375
H9 H 0.375 0.250 0.625
H10 H 0.375 0.625 0.750
H11 H 0.500 0.000 0.000
H12 H 0.500 0.000 0.500
H13 H 0.500 0.500 0.000
H14 H 0.500 0.500 0.500
H15 H 0.625 0.375 0.250
H16 H 0.625 0.750 0.375
H17 H 0.750 0.375 0.625
H18 H 0.750 0.875 0.125
H19 H 0.875 0.125 0.750
H20 H 0.875 0.250 0.125
```

Computed properties:
M_tot   5.05 μB/f.u.
E   -164.2 eV/cell
Space-group type   Ia-3d

Record 9
The following is a DFT calculation (PBE) of Y3AlCu2 after structural relaxation.

```
data_Y3AlCu2
_cell_length_a 3.486
_cell_length_b 3.486
_cell_length_c 10.841
_cell_angle_alpha 90.00
_cell_angle_beta 90.00
_cell_angle_gamma 90.00
_space_group_name_H-M_alt 'P 1'
_space_group_IT_number 1
_space_group_name_Hall 'P 1'
loop_
_atom_site_label
_atom_site_type_symbol
_atom_site_fract_x
_atom_site_fract_y
_atom_site_fract_z
Y1 Y 0.000 0.000 0.000
Y2 Y 0.000 0.000 0.323
Y3 Y 0.000 0.000 0.677
Al1 Al 0.500 0.500 0.500
Cu1 Cu 0.500 0.500 0.165
Cu2 Cu 0.500 0.500 0.835
```

Computed properties:
M_tot   0.00 μB/f.u.
E   -33.1 eV/cell
DFT formation energy   -1.82 eV per formula unit
Space-group type   P4/mmm

Record 10
The following is a DFT calculation (PBE) of Sm2Er5Th after structural relaxation.

```
data_Sm2Er5Th
_cell_length_a 7.081
_cell_length_b 14.195
_cell_length_c 5.032
_cell_angle_alpha 90.00
_cell_angle_beta 90.00
_cell_angle_gamma 90.00
_space_group_name_H-M_alt 'P 1'
_space_group_IT_number 1
_space_group_name_Hall 'P 1'
loop_
_atom_site_label
_atom_site_type_symbol
_atom_site_fract_x
_atom_site_fract_y
_atom_site_fract_z
Sm1 Sm 0.249 0.124 0.000
Sm2 Sm 0.251 0.624 0.000
Sm3 Sm 0.749 0.376 0.000
Sm4 Sm 0.751 0.876 0.000
Er1 Er 0.000 0.500 0.500
Er2 Er 0.006 0.249 0.500
Er3 Er 0.241 0.877 0.000
Er4 Er 0.259 0.377 0.000
Er5 Er 0.494 0.749 0.500
Er6 Er 0.500 0.000 0.500
Er7 Er 0.506 0.251 0.500
Er8 Er 0.741 0.623 0.000
Er9 Er 0.759 0.123 0.000
Er10 Er 0.994 0.751 0.500
Th1 Th 0.000 0.000 0.500
Th2 Th 0.500 0.500 0.500
```

Computed properties:
M_tot   0.00 μB/f.u.
E   -78.9 eV/cell
Distance to the lowest polymorph of the same formula   5 meV/atom
DFT formation energy   0.22 eV per formula unit
Space-group type   Pbam

What did the ninth record say?
The following is a DFT calculation (PBE) of Y3AlCu2 after structural relaxation.

```
data_Y3AlCu2
_cell_length_a 3.486
_cell_length_b 3.486
_cell_length_c 10.841
_cell_angle_alpha 90.00
_cell_angle_beta 90.00
_cell_angle_gamma 90.00
_space_group_name_H-M_alt 'P 1'
_space_group_IT_number 1
_space_group_name_Hall 'P 1'
loop_
_atom_site_label
_atom_site_type_symbol
_atom_site_fract_x
_atom_site_fract_y
_atom_site_fract_z
Y1 Y 0.000 0.000 0.000
Y2 Y 0.000 0.000 0.323
Y3 Y 0.000 0.000 0.677
Al1 Al 0.500 0.500 0.500
Cu1 Cu 0.500 0.500 0.165
Cu2 Cu 0.500 0.500 0.835
```

Computed properties:
M_tot   0.00 μB/f.u.
E   -33.1 eV/cell
DFT formation energy   -1.82 eV per formula unit
Space-group type   P4/mmm

The highest E belongs to which entry? KBaMg2

Look up the M_tot of the tenth one. 0.00 μB/f.u.